1.
The following is a DFT calculation (PBE-GGA) of crystalline BeTlSi2 at its relaxed geometry.

Output
E_tot: -3.49 eV per atom
ΔE to the lowest computed polymorph: 336.4 meV per atom

Lattice parameters (Å, degrees): 3.729 3.729 5.015 90.00 90.00 90.00
Fractional coordinates of all 4 atoms:
Be (0.000, 0.000, 0.000)
Tl (0.500, 0.500, 0.000)
Si (0.000, 0.500, 0.500)
Si (0.500, 0.000, 0.500)

=====

2.
The following is a DFT calculation (PBE-GGA) of crystalline Be2TlSi at its relaxed geometry.

Output
E_tot: -3.23 eV per atom
ΔE to the lowest computed polymorph: 301.4 meV per atom

Lattice parameters (Å, degrees): 2.684 3.316 7.596 90.00 90.00 90.00
Fractional coordinates of all 4 atoms:
Be (0.000, 0.000, 0.000)
Be (0.500, 0.500, 0.124)
Tl (0.500, 0.500, 0.715)
Si (0.000, 0.000, 0.301)

=====

Question: Which of these has the lowest E_tot?
Answer: BeTlSi2

=====

Question: What is the E_tot in the second record?
Answer: -3.23 eV per atom

=====

Question: E_tot of number 2 (Be2TlSi)?
Answer: -3.23 eV per atom

=====

Question: What is the formula in the second record?
Answer: Be2TlSi